(1)
{
  "formula": "ReAs2Br",
  "functional": "PBE",
  "state": "relaxed",
  "vol_a3_per_atom": 23.024,
  "raw_formation_energy_ev_per_fu": 0.66,
  "polymorph_energy_ev_per_atom": 0.019,
  "final_energy_ev_per_atom": -5.69,
  "lattice_angstrom": [[7.458, 0.000, 0.000], [0.000, 3.225, 0.000], [-2.539, 0.000, 7.658]],
  "species": ["Re", "Re", "As", "As", "As", "As", "Br", "Br"],
  "frac_coords": [[0.000, 0.000, 0.000], [0.500, 0.500, 0.000], [0.147, 0.500, 0.840], [0.353, 0.000, 0.160], [0.647, 0.000, 0.840], [0.853, 0.500, 0.160], [0.000, 0.500, 0.500], [0.500, 0.000, 0.500]]
}

(2)
{
  "formula": "CuTePd2O8",
  "functional": "PBE",
  "state": "relaxed",
  "vol_a3_per_atom": 12.000,
  "raw_formation_energy_ev_per_fu": -1.40,
  "final_energy_ev_per_atom": -4.89,
  "lattice_angstrom": [[-3.220, 3.220, 3.472], [3.220, -3.220, 3.472], [3.220, 3.220, -3.472]],
  "species": ["Cu", "Te", "Pd", "Pd", "O", "O", "O", "O", "O", "O", "O", "O"],
  "frac_coords": [[0.000, 0.000, 0.000], [0.250, 0.750, 0.500], [0.500, 0.500, 0.000], [0.750, 0.250, 0.500], [0.283, 0.094, 0.811], [0.283, 0.473, 0.189], [0.341, 0.027, 0.314], [0.527, 0.717, 0.811], [0.713, 0.027, 0.686], [0.906, 0.717, 0.189], [0.973, 0.287, 0.314], [0.973, 0.659, 0.686]]
}

(3)
{
  "formula": "Tb3Sm4Er4",
  "functional": "PBE",
  "state": "relaxed",
  "vol_a3_per_atom": 32.714,
  "polymorph_energy_ev_per_atom": 0.135,
  "e_form_ev_per_fu": 1.68,
  "final_energy_ev_per_atom": -4.49,
  "lattice_angstrom": [[10.567, 0.000, 0.000], [0.000, 2.833, 6.011], [0.000, -2.833, 6.011]],
  "species": ["Tb", "Tb", "Tb", "Sm", "Sm", "Sm", "Sm", "Er", "Er", "Er", "Er"],
  "frac_coords": [[0.000, 0.000, 0.000], [0.290, 0.155, 0.155], [0.710, 0.155, 0.155], [0.000, 0.706, 0.706], [0.209, 0.500, 0.500], [0.500, 0.630, 0.630], [0.791, 0.500, 0.500], [0.000, 0.299, 0.299], [0.301, 0.849, 0.849], [0.500, 0.358, 0.358], [0.699, 0.849, 0.849]]
}

(4)
{
  "formula": "MnCoRe",
  "functional": "PBE",
  "state": "relaxed",
  "vol_a3_per_atom": 12.651,
  "polymorph_energy_ev_per_atom": 0.043,
  "e_form_ev_per_fu": 0.31,
  "final_energy_ev_per_atom": -9.47,
  "lattice_angstrom": [[4.121, 0.000, 0.000], [-2.060, 3.569, 0.000], [0.000, 0.000, 2.581]],
  "species": ["Mn", "Co", "Re"],
  "frac_coords": [[0.000, 0.000, 0.000], [0.667, 0.333, 0.752], [0.333, 0.667, 0.346]]
}

(5)
{
  "formula": "Pu4U",
  "functional": "PBE",
  "state": "relaxed",
  "vol_a3_per_atom": 26.833,
  "e_form_ev_per_fu": 3.47,
  "final_energy_ev_per_atom": -13.03,
  "lattice_angstrom": [[5.119, 0.000, 0.000], [0.000, 5.119, 0.000], [0.000, 0.000, 5.119]],
  "species": ["Pu", "Pu", "Pu", "Pu", "U"],
  "frac_coords": [[0.000, 0.000, 0.000], [0.000, 0.500, 0.500], [0.500, 0.000, 0.500], [0.500, 0.500, 0.000], [0.500, 0.500, 0.500]]
}

(6)
{
  "formula": "Tb6Nd2Dy3",
  "functional": "PBE",
  "state": "relaxed",
  "vol_a3_per_atom": 34.229,
  "polymorph_energy_ev_per_atom": 0.091,
  "e_form_ev_per_fu": 2.97,
  "final_energy_ev_per_atom": -4.38,
  "lattice_angstrom": [[-2.374, 2.374, 16.706], [2.374, -2.374, 16.706], [2.374, 2.374, -16.706]],
  "species": ["Tb", "Tb", "Tb", "Tb", "Tb", "Tb", "Nd", "Nd", "Dy", "Dy", "Dy"],
  "frac_coords": [[0.122, 0.622, 0.500], [0.197, 0.197, 0.000], [0.378, 0.878, 0.500], [0.622, 0.122, 0.500], [0.803, 0.803, 0.000], [0.878, 0.378, 0.500], [0.046, 0.046, 0.000], [0.954, 0.954, 0.000], [0.299, 0.299, 0.000], [0.500, 0.500, 0.000], [0.701, 0.701, 0.000]]
}

Summary of theoretical density in g cm⁻³
7.500, 6.134, 8.063, 13.129, 15.026, 7.628
(order as listed above)